No. 1
# Tl3RhI

A relaxed Tl3RhI crystal (PBE-GGA, Alexandria via LeMat-Bulk).

Results
final energy = -3.465 eV per atom
uncorrected formation energy = -0.26 eV/atom
energy above the lowest structure with this stoichiometry = 0.00 eV/f.u.
size of the total moment = 0.00 μB/f.u.

a = 5.387 Å, b = 5.387 Å, c = 5.387 Å
α = 90.00°, β = 90.00°, γ = 90.00°
Fractional positions:
Tl 0.000 0.000 0.500
Tl 0.000 0.500 0.000
Tl 0.500 0.000 0.000
Rh 0.000 0.000 0.000
I 0.500 0.500 0.500

No. 2
# LiCa

A relaxed LiCa crystal (PBE-GGA, Alexandria via LeMat-Bulk).

Results
final energy = -1.927 eV per atom
calculated formation energy = 0.7 kcal/mol of atoms
energy above the lowest structure with this stoichiometry = 0.04 eV/f.u.
size of the total moment = 0.00 μB/f.u.

a = 4.017 Å, b = 5.112 Å, c = 6.511 Å
α = 90.00°, β = 107.46°, γ = 90.00°
Fractional positions:
Li 0.067 0.250 0.137
Li 0.933 0.750 0.863
Ca 0.349 0.250 0.694
Ca 0.651 0.750 0.306

No. 3
# CuP2Pb

A relaxed CuP2Pb crystal (PBE-GGA, Alexandria via LeMat-Bulk).

Results
final energy = -4.446 eV per atom
calculated formation energy = 4.8 kcal/mol of atoms
size of the total moment = 0.00 μB/f.u.

a = 4.062 Å, b = 4.062 Å, c = 6.293 Å
α = 101.75°, β = 101.75°, γ = 50.96°
Fractional positions:
Cu 0.000 0.000 0.000
P 0.257 0.257 0.852
P 0.743 0.743 0.148
Pb 0.500 0.500 0.500

No. 4
# InIrRu

A relaxed InIrRu crystal (PBE-GGA, Alexandria via LeMat-Bulk).

Results
final energy = -6.606 eV per atom
calculated formation energy = 8.1 kcal/mol of atoms
energy above the lowest structure with this stoichiometry = 0.85 eV/f.u.
size of the total moment = 0.00 μB/f.u.

a = 4.324 Å, b = 4.324 Å, c = 4.324 Å
α = 60.00°, β = 60.00°, γ = 60.00°
Fractional positions:
In 0.000 0.000 0.000
Ir 0.750 0.750 0.750
Ru 0.500 0.500 0.500

No. 5
# LaTbHo5

A relaxed LaTbHo5 crystal (PBE-GGA, Alexandria via LeMat-Bulk).

Results
final energy = -4.434 eV per atom
calculated formation energy = 4.6 kcal/mol of atoms
energy above the lowest structure with this stoichiometry = 0.00 eV/f.u.
size of the total moment = 0.00 μB/f.u.

a = 6.770 Å, b = 6.770 Å, c = 12.117 Å
α = 106.94°, β = 106.94°, γ = 60.83°
Fractional positions:
La 0.026 0.974 0.750
La 0.974 0.026 0.250
Tb 0.000 0.500 0.000
Tb 0.500 0.000 0.500
Ho 0.145 0.415 0.750
Ho 0.201 0.637 0.501
Ho 0.363 0.799 0.999
Ho 0.407 0.593 0.250
Ho 0.415 0.145 0.250
Ho 0.585 0.855 0.750
Ho 0.593 0.407 0.750
Ho 0.637 0.201 0.001
Ho 0.799 0.363 0.499
Ho 0.855 0.585 0.250

No. 6
# Tb4NdSi4

A relaxed Tb4NdSi4 crystal (PBE-GGA, Alexandria via LeMat-Bulk).

Results
final energy = -5.466 eV per atom
uncorrected formation energy = -0.47 eV/atom
size of the total moment = 0.00 μB/f.u.

a = 9.193 Å, b = 9.193 Å, c = 5.775 Å
α = 90.00°, β = 90.00°, γ = 90.00°
Fractional positions:
Tb 0.090 0.649 0.127
Tb 0.149 0.910 0.627
Tb 0.351 0.590 0.627
Tb 0.410 0.851 0.127
Tb 0.590 0.149 0.873
Tb 0.649 0.410 0.373
Tb 0.851 0.090 0.373
Tb 0.910 0.351 0.873
Nd 0.250 0.250 0.250
Nd 0.750 0.750 0.750
Si 0.034 0.602 0.628
Si 0.102 0.966 0.128
Si 0.398 0.534 0.128
Si 0.466 0.898 0.628
Si 0.534 0.102 0.372
Si 0.602 0.466 0.872
Si 0.898 0.034 0.872
Si 0.966 0.398 0.372